Entry 1:
An optimized crystal structure of TbPrY5Sc2. Source: Alexandria via LeMat-Bulk, functional PBE-GGA.

Geometry as CIF:
```
data_TbPrY5Sc2
_cell_length_a 5.6447
_cell_length_b 11.1350
_cell_length_c 9.3990
_cell_angle_alpha 90.00
_cell_angle_beta 90.00
_cell_angle_gamma 104.68
_symmetry_space_group_name_H-M 'P 1'
_symmetry_Int_Tables_number 1
_symmetry_space_group_name_Hall 'P 1'
loop_
_atom_site_label
_atom_site_type_symbol
_atom_site_fract_x
_atom_site_fract_y
_atom_site_fract_z
Tb1 Tb 0.4030 0.8060 0.4176
Tb2 Tb 0.5970 0.1940 0.9176
Y1 Y 0.3893 0.7786 0.0453
Y2 Y 0.6927 0.3854 0.2161
Y3 Y 0.2649 0.5297 0.3358
Y4 Y 0.4689 0.9379 0.7481
Y5 Y 0.3073 0.6146 0.7161
Y6 Y 0.6107 0.2214 0.5453
Y7 Y 0.0084 0.0168 0.0167
Y8 Y 0.9916 0.9832 0.5167
Y9 Y 0.5311 0.0621 0.2481
Y10 Y 0.7351 0.4703 0.8358
Sc1 Sc 0.1373 0.2745 0.7000
Sc2 Sc 0.8869 0.7738 0.8250
Sc3 Sc 0.8627 0.7255 0.2000
Sc4 Sc 0.1131 0.2262 0.3250
Pr1 Pr 0.1843 0.3685 0.0193
Pr2 Pr 0.8157 0.6315 0.5193
```

## Properties
ΔE_f = 0.169 eV/atom
symmetry = Cmc2_1, No. 36
DOS at the Fermi energy = 1.573 states/eV per atom

---

Entry 2:
An optimized crystal structure of Tb3Pr6Y2Sc. Source: Alexandria via LeMat-Bulk, functional PBE-GGA.

Geometry as CIF:
```
data_Tb3Pr6Y2Sc
_cell_length_a 6.2883
_cell_length_b 6.2883
_cell_length_c 11.8352
_cell_angle_alpha 95.07
_cell_angle_beta 95.07
_cell_angle_gamma 120.01
_symmetry_space_group_name_H-M 'P 1'
_symmetry_Int_Tables_number 1
_symmetry_space_group_name_Hall 'P 1'
loop_
_atom_site_label
_atom_site_type_symbol
_atom_site_fract_x
_atom_site_fract_y
_atom_site_fract_z
Y1 Y 0.3334 0.6666 0.0000
Y2 Y 0.6666 0.3334 0.0000
Pr1 Pr 0.0819 0.4115 0.2474
Pr2 Pr 0.4115 0.0819 0.2474
Pr3 Pr 0.5885 0.9181 0.7526
Pr4 Pr 0.7522 0.7522 0.2478
Pr5 Pr 0.2478 0.2478 0.7522
Pr6 Pr 0.9181 0.5885 0.7526
Tb1 Tb 0.5000 0.5000 0.5000
Tb2 Tb 0.1667 0.8333 0.5000
Tb3 Tb 0.8333 0.1667 0.5000
Sc1 Sc 0.0000 0.0000 0.0000
```

## Properties
ΔE_f = 0.022 eV/atom
symmetry = C2/m, No. 12
DOS at the Fermi energy = 1.131 states/eV per atom

---

Entry 3:
An optimized crystal structure of Tb2Pr6Y3Sc. Source: Alexandria via LeMat-Bulk, functional PBE-GGA.

Geometry as CIF:
```
data_Tb2Pr6Y3Sc
_cell_length_a 6.2890
_cell_length_b 6.2890
_cell_length_c 11.8360
_cell_angle_alpha 95.08
_cell_angle_beta 95.08
_cell_angle_gamma 120.00
_symmetry_space_group_name_H-M 'P 1'
_symmetry_Int_Tables_number 1
_symmetry_space_group_name_Hall 'P 1'
loop_
_atom_site_label
_atom_site_type_symbol
_atom_site_fract_x
_atom_site_fract_y
_atom_site_fract_z
Pr1 Pr 0.4121 0.0818 0.2467
Pr2 Pr 0.7514 0.7514 0.2470
Pr3 Pr 0.5879 0.9182 0.7533
Pr4 Pr 0.0818 0.4121 0.2467
Pr5 Pr 0.2486 0.2486 0.7530
Pr6 Pr 0.9182 0.5879 0.7533
Y1 Y 0.5000 0.5000 0.5000
Y2 Y 0.1666 0.8334 0.5000
Y3 Y 0.8334 0.1666 0.5000
Tb1 Tb 0.3333 0.6667 0.0000
Tb2 Tb 0.6667 0.3333 0.0000
Sc1 Sc 0.0000 0.0000 0.0000
```

## Properties
ΔE_f = 0.022 eV/atom
symmetry = C2/m, No. 12
DOS at the Fermi energy = 1.148 states/eV per atom

---

Entry 4:
An optimized crystal structure of TbPr2YSc. Source: Alexandria via LeMat-Bulk, functional PBE-GGA.

Geometry as CIF:
```
data_TbPr2YSc
_cell_length_a 6.5772
_cell_length_b 7.8766
_cell_length_c 6.2883
_cell_angle_alpha 90.00
_cell_angle_beta 90.00
_cell_angle_gamma 90.00
_symmetry_space_group_name_H-M 'P 1'
_symmetry_Int_Tables_number 1
_symmetry_space_group_name_Hall 'P 1'
loop_
_atom_site_label
_atom_site_type_symbol
_atom_site_fract_x
_atom_site_fract_y
_atom_site_fract_z
Sc1 Sc 0.0000 0.0000 0.5000
Sc2 Sc 0.0000 0.0000 0.0000
Pr1 Pr 0.7828 0.7041 0.7500
Pr2 Pr 0.2172 0.2959 0.2500
Pr3 Pr 0.7828 0.2959 0.7500
Pr4 Pr 0.2172 0.7041 0.2500
Y1 Y 0.6917 0.5000 0.2500
Y2 Y 0.3083 0.5000 0.7500
Tb1 Tb 0.5907 0.0000 0.2500
Tb2 Tb 0.4093 0.0000 0.7500
```

## Properties
ΔE_f = 0.199 eV/atom
symmetry = Pmma, No. 51
DOS at the Fermi energy = 1.172 states/eV per atom

---

Entry 5:
An optimized crystal structure of TbPr5Y2Sc. Source: Alexandria via LeMat-Bulk, functional PBE-GGA.

Geometry as CIF:
```
data_TbPr5Y2Sc
_cell_length_a 5.4268
_cell_length_b 11.3653
_cell_length_c 10.3149
_cell_angle_alpha 90.00
_cell_angle_beta 90.00
_cell_angle_gamma 103.81
_symmetry_space_group_name_H-M 'P 1'
_symmetry_Int_Tables_number 1
_symmetry_space_group_name_Hall 'P 1'
loop_
_atom_site_label
_atom_site_type_symbol
_atom_site_fract_x
_atom_site_fract_y
_atom_site_fract_z
Pr1 Pr 0.5001 0.0003 0.7579
Pr2 Pr 0.3735 0.7471 0.0081
Pr3 Pr 0.2788 0.5576 0.6959
Pr4 Pr 0.6265 0.2529 0.5081
Pr5 Pr 0.4999 0.9997 0.2579
Pr6 Pr 0.9993 0.9987 0.0080
Pr7 Pr 0.2783 0.5567 0.3214
Pr8 Pr 0.7217 0.4433 0.8214
Pr9 Pr 0.0007 0.0013 0.5080
Pr10 Pr 0.7212 0.4424 0.1959
Y1 Y 0.1159 0.2318 0.7607
Y2 Y 0.8845 0.7691 0.7553
Y3 Y 0.8841 0.7682 0.2607
Y4 Y 0.1155 0.2309 0.2553
Tb1 Tb 0.3984 0.7968 0.5081
Tb2 Tb 0.6016 0.2032 0.0081
Sc1 Sc 0.7865 0.5730 0.5086
Sc2 Sc 0.2135 0.4270 0.0086
```

## Properties
ΔE_f = 0.120 eV/atom
symmetry = Cmc2_1, No. 36
DOS at the Fermi energy = 1.496 states/eV per atom

---

Entry 6:
An optimized crystal structure of TbPrScZn. Source: Alexandria via LeMat-Bulk, functional PBE-GGA.

Geometry as CIF:
```
data_TbPrScZn
_cell_length_a 3.5102
_cell_length_b 3.5102
_cell_length_c 8.5769
_cell_angle_alpha 90.00
_cell_angle_beta 90.00
_cell_angle_gamma 90.00
_symmetry_space_group_name_H-M 'P 1'
_symmetry_Int_Tables_number 1
_symmetry_space_group_name_Hall 'P 1'
loop_
_atom_site_label
_atom_site_type_symbol
_atom_site_fract_x
_atom_site_fract_y
_atom_site_fract_z
Zn1 Zn 0.0000 0.0000 0.5481
Sc1 Sc 0.5000 0.5000 0.3757
Tb1 Tb 0.5000 0.5000 0.7728
Pr1 Pr 0.0000 0.0000 0.0881
```

## Properties
ΔE_f = -0.148 eV/atom
relative energy among the computed polymorphs = 0.000 eV/atom
symmetry = P4mm, No. 99
DOS at the Fermi energy = 1.070 states/eV per atom

---

Entry 7:
An optimized crystal structure of TbPrScZn. Source: Alexandria via LeMat-Bulk, functional PBE-GGA.

Geometry as CIF:
```
data_TbPrScZn
_cell_length_a 5.3046
_cell_length_b 5.3046
_cell_length_c 5.3046
_cell_angle_alpha 60.00
_cell_angle_beta 60.00
_cell_angle_gamma 60.00
_symmetry_space_group_name_H-M 'P 1'
_symmetry_Int_Tables_number 1
_symmetry_space_group_name_Hall 'P 1'
loop_
_atom_site_label
_atom_site_type_symbol
_atom_site_fract_x
_atom_site_fract_y
_atom_site_fract_z
Sc1 Sc 0.5000 0.5000 0.5000
Pr1 Pr 0.2500 0.2500 0.2500
Zn1 Zn 0.0000 0.0000 0.0000
Tb1 Tb 0.7500 0.7500 0.7500
```

## Properties
ΔE_f = -0.007 eV/atom
relative energy among the computed polymorphs = 0.140 eV/atom
symmetry = F-43m, No. 216
DOS at the Fermi energy = 1.200 states/eV per atom

---

Entry 8:
An optimized crystal structure of PrSc3Tc. Source: Alexandria via LeMat-Bulk, functional PBE-GGA.

Geometry as CIF:
```
data_PrSc3Tc
_cell_length_a 5.1013
_cell_length_b 5.1013
_cell_length_c 5.1013
_cell_angle_alpha 90.00
_cell_angle_beta 90.00
_cell_angle_gamma 90.00
_symmetry_space_group_name_H-M 'P 1'
_symmetry_Int_Tables_number 1
_symmetry_space_group_name_Hall 'P 1'
loop_
_atom_site_label
_atom_site_type_symbol
_atom_site_fract_x
_atom_site_fract_y
_atom_site_fract_z
Sc1 Sc 0.5000 0.0000 0.0000
Sc2 Sc 0.0000 0.0000 0.5000
Sc3 Sc 0.0000 0.5000 0.0000
Pr1 Pr 0.5000 0.5000 0.5000
Tc1 Tc 0.0000 0.0000 0.0000
```

## Properties
ΔE_f = 0.007 eV/atom
symmetry = Pm-3m, No. 221
DOS at the Fermi energy = 1.283 states/eV per atom

---

Entry 9:
An optimized crystal structure of PrScZnTc. Source: Alexandria via LeMat-Bulk, functional PBE-GGA.

Geometry as CIF:
```
data_PrScZnTc
_cell_length_a 4.8948
_cell_length_b 4.8948
_cell_length_c 4.8948
_cell_angle_alpha 60.00
_cell_angle_beta 60.00
_cell_angle_gamma 60.00
_symmetry_space_group_name_H-M 'P 1'
_symmetry_Int_Tables_number 1
_symmetry_space_group_name_Hall 'P 1'
loop_
_atom_site_label
_atom_site_type_symbol
_atom_site_fract_x
_atom_site_fract_y
_atom_site_fract_z
Pr1 Pr 0.7500 0.7500 0.7500
Sc1 Sc 0.2500 0.2500 0.2500
Zn1 Zn 0.0000 0.0000 0.0000
Tc1 Tc 0.5000 0.5000 0.5000
```

## Properties
ΔE_f = -0.066 eV/atom
symmetry = F-43m, No. 216
DOS at the Fermi energy = 0.571 states/eV per atom

---

Entry 10:
An optimized crystal structure of Pr3ScTe6. Source: Alexandria via LeMat-Bulk, functional PBE-GGA.

Geometry as CIF:
```
data_Pr3ScTe6
_cell_length_a 9.1340
_cell_length_b 9.1340
_cell_length_c 9.1340
_cell_angle_alpha 90.62
_cell_angle_beta 90.62
_cell_angle_gamma 90.62
_symmetry_space_group_name_H-M 'P 1'
_symmetry_Int_Tables_number 1
_symmetry_space_group_name_Hall 'P 1'
loop_
_atom_site_label
_atom_site_type_symbol
_atom_site_fract_x
_atom_site_fract_y
_atom_site_fract_z
Te1 Te 0.8066 0.4556 0.5791
Te2 Te 0.3014 0.9218 0.0877
Te3 Te 0.5444 0.4209 0.1934
Te4 Te 0.0782 0.9123 0.6986
Te5 Te 0.1934 0.5444 0.4209
Te6 Te 0.9123 0.6986 0.0782
Te7 Te 0.6986 0.0782 0.9123
Te8 Te 0.5791 0.8066 0.4556
Te9 Te 0.4209 0.1934 0.5444
Te10 Te 0.4556 0.5791 0.8066
Te11 Te 0.9218 0.0877 0.3014
Te12 Te 0.0877 0.3014 0.9218
Pr1 Pr 0.7559 0.4252 0.9185
Pr2 Pr 0.0815 0.2441 0.5748
Pr3 Pr 0.2441 0.5748 0.0815
Pr4 Pr 0.9185 0.7559 0.4252
Pr5 Pr 0.5748 0.0815 0.2441
Pr6 Pr 0.4252 0.9185 0.7559
Sc1 Sc 0.5000 0.5000 0.5000
Sc2 Sc 0.0000 0.0000 0.0000
```

## Properties
formation energy from raw total energies = -1.345 eV/atom
symmetry = R-3, No. 148